No. 1
# Nd2InPb5

Nd2InPb5 after structural relaxation (PBE, Alexandria via LeMat-Bulk).

extended XYZ file:
```
16
Lattice="6.869 0.000 0.000 0.000 13.761 0.000 0.000 0.000 4.963" Properties=species:S:1:pos:R:3 pbc="T T T"
Nd 1.666 1.738 0.000
Nd 1.768 8.619 0.000
Nd 5.100 5.142 0.000
Nd 5.203 12.023 0.000
In 0.000 6.881 2.481
In 3.434 0.000 2.481
Pb 0.000 0.000 2.481
Pb 0.026 10.280 2.481
Pb 1.663 5.194 0.000
Pb 1.771 12.075 0.000
Pb 3.408 3.399 2.481
Pb 3.434 6.881 2.481
Pb 3.461 10.362 2.481
Pb 5.098 1.686 0.000
Pb 5.205 8.567 0.000
Pb 6.842 3.481 2.481
```

For the formation energy, the calculation gives -394 meV/atom.


No. 2
# K2InRu

K2InRu after structural relaxation (PBE, Alexandria via LeMat-Bulk).

extended XYZ file:
```
4
Lattice="-1.678 2.119 10.030 1.678 -2.119 10.030 1.678 2.119 -10.030" Properties=species:S:1:pos:R:3 pbc="T T T"
K 0.000 0.000 2.915
K 0.000 0.000 17.144
In 0.000 2.119 0.000
Ru 1.678 0.000 0.000
```

For the formation energy, the calculation gives 342 meV/atom.


No. 3
# RbCu6Cl8

RbCu6Cl8 after structural relaxation (PBE, Alexandria via LeMat-Bulk).

extended XYZ file:
```
15
Lattice="0.000 5.911 5.911 5.911 0.000 5.911 5.911 5.911 0.000" Properties=species:S:1:pos:R:3 pbc="T T T"
Rb 0.000 0.000 0.000
Cu 2.956 2.956 0.000
Cu 2.956 0.000 2.956
Cu 5.911 2.956 2.956
Cu 0.000 2.956 2.956
Cu 2.956 5.911 2.956
Cu 2.956 2.956 5.911
Cl 1.773 1.773 1.773
Cl 4.138 4.138 1.773
Cl 4.138 1.773 4.138
Cl 10.049 7.684 7.684
Cl 1.773 4.138 4.138
Cl 7.684 10.049 7.684
Cl 7.684 7.684 10.049
Cl 10.049 10.049 10.049
```

As for the raw total energy: -3.160 eV/atom.


No. 4
# TbDy3Tm2

TbDy3Tm2 after structural relaxation (PBE, Alexandria via LeMat-Bulk).

extended XYZ file:
```
12
Lattice="7.099 0.000 0.000 -3.548 6.150 0.000 -0.010 -2.048 8.488" Properties=species:S:1:pos:R:3 pbc="T T T"
Tb -1.777 6.148 0.008
Tb 5.319 -2.046 8.479
Dy -0.003 3.074 0.007
Dy 1.766 -0.001 5.644
Dy -0.008 3.075 5.643
Dy 3.549 1.027 2.845
Dy 1.776 4.103 2.843
Dy 3.545 1.027 8.480
Tm -0.007 1.024 2.840
Tm -1.781 4.098 2.839
Tm 5.323 0.004 5.649
Tm 3.549 3.077 5.648
```

For the formation energy, the calculation gives -3 meV/atom.


No. 5
# ScBeGa2

ScBeGa2 after structural relaxation (PBE, Alexandria via LeMat-Bulk).

extended XYZ file:
```
8
Lattice="-2.176 2.176 7.910 2.176 -2.176 7.910 2.176 2.176 -7.910" Properties=species:S:1:pos:R:3 pbc="T T T"
Sc 0.000 0.000 0.000
Sc 0.000 2.176 3.955
Be 2.176 0.000 3.955
Be 0.000 0.000 7.910
Ga 1.088 -0.596 5.932
Ga 1.580 1.088 1.977
Ga 1.088 2.772 -1.977
Ga 0.596 1.088 9.887
```

For the formation energy, the calculation gives 49 meV/atom.


No. 6
# Nd3Er5Pb2

Nd3Er5Pb2 after structural relaxation (PBE, Alexandria via LeMat-Bulk).

extended XYZ file:
```
20
Lattice="-6.424 7.889 3.212 6.424 -7.889 3.212 6.424 7.889 -3.212" Properties=species:S:1:pos:R:3 pbc="T T T"
Nd 1.600 3.592 0.000
Nd 0.000 0.000 1.606
Nd 8.023 4.297 0.000
Nd -1.600 3.592 3.212
Nd 0.000 0.000 4.818
Nd 4.824 4.297 3.212
Er 5.086 2.555 0.000
Er 3.264 0.000 1.606
Er 6.424 0.000 1.606
Er 9.583 0.000 1.606
Er 5.086 -2.555 3.212
Er 1.338 10.444 0.000
Er -3.160 7.889 1.606
Er 0.000 7.889 1.606
Er 3.160 7.889 1.606
Er 1.338 5.334 3.212
Pb 4.594 -5.532 3.212
Pb 4.594 5.532 0.000
Pb 1.830 2.357 3.212
Pb 1.830 13.421 0.000
```

For the formation energy, the calculation gives -9 meV/atom.


No. 7
# K3TbPm2O6

K3TbPm2O6 after structural relaxation (PBE, Alexandria via LeMat-Bulk).

extended XYZ file:
```
12
Lattice="3.097 -5.364 0.000 3.097 5.364 0.000 -2.066 0.000 6.289" Properties=species:S:1:pos:R:3 pbc="T T T"
K 0.000 0.000 0.000
K 3.097 1.773 0.000
K 3.097 -1.773 0.000
Tb 2.064 0.000 3.145
Pm 2.064 3.576 3.145
Pm 2.064 -3.576 3.145
O 1.052 1.753 1.959
O 0.040 0.000 4.329
O 1.052 -1.753 1.959
O 3.076 1.753 4.331
O 4.088 0.000 1.961
O 3.076 -1.753 4.331
```

As for the raw total energy: -6.610 eV/atom.


No. 8
# La2RePb

La2RePb after structural relaxation (PBE, Alexandria via LeMat-Bulk).

extended XYZ file:
```
4
Lattice="-1.772 2.554 6.244 1.772 -2.554 6.244 1.772 2.554 -6.244" Properties=species:S:1:pos:R:3 pbc="T T T"
La 0.000 0.000 0.000
La 0.000 2.554 2.452
Re 0.000 0.000 6.239
Pb 1.772 0.000 3.946
```

For the formation energy, the calculation gives 99 meV/atom.


No. 9
# LiPm2BiO5

LiPm2BiO5 after structural relaxation (PBE, Alexandria via LeMat-Bulk).

extended XYZ file:
```
18
Lattice="1.752 -6.752 0.000 1.752 6.752 0.000 0.000 0.000 10.559" Properties=species:S:1:pos:R:3 pbc="T T T"
Li 1.752 6.654 5.279
Li 1.752 -6.654 0.000
Pm 1.752 1.838 1.854
Pm 1.752 1.406 8.208
Pm 1.752 -1.406 2.929
Pm 1.752 -1.838 7.133
Bi 1.752 2.465 5.054
Bi 1.752 -2.465 10.333
O 1.752 6.688 8.539
O 1.752 4.670 5.490
O 1.752 4.203 1.317
O 1.752 3.767 8.537
O 1.752 0.274 6.118
O 1.752 -0.274 0.838
O 1.752 -3.767 3.257
O 1.752 -4.203 6.596
O 1.752 -4.670 0.211
O 1.752 -6.688 3.259
```

As for the raw total energy: -6.872 eV/atom.


No. 10
# Hg4AuI2Br

Hg4AuI2Br after structural relaxation (PBE, Alexandria via LeMat-Bulk).

extended XYZ file:
```
16
Lattice="10.741 0.000 0.000 0.000 5.520 0.000 0.000 0.000 11.335" Properties=species:S:1:pos:R:3 pbc="T T T"
Hg 0.000 0.639 0.000
Hg 0.000 4.806 8.398
Hg 2.653 3.160 11.298
Hg 2.718 2.359 5.630
Hg 5.371 0.713 2.730
Hg 5.371 4.881 5.668
Hg 8.023 2.359 5.630
Hg 8.089 3.160 11.298
Au 0.000 3.391 11.128
Au 5.371 2.128 5.461
I 2.667 5.246 8.183
I 2.704 0.274 2.515
I 8.037 0.274 2.515
I 8.075 5.246 8.183
Br 0.000 2.684 5.946
Br 5.371 2.836 0.279
```

As for the raw total energy: -1.285 eV/atom.


No. 11
# HfTlAu3

HfTlAu3 after structural relaxation (PBE, Alexandria via LeMat-Bulk).

extended XYZ file:
```
5
Lattice="5.306 0.000 0.000 0.000 5.306 0.000 0.000 0.000 5.306" Properties=species:S:1:pos:R:3 pbc="T T T"
Hf 0.000 0.000 0.000
Tl 2.653 2.653 2.653
Au 0.000 0.000 2.653
Au 0.000 2.653 0.000
Au 2.653 0.000 0.000
```

For the formation energy, the calculation gives 349 meV/atom.


No. 12
# CoBr2N

CoBr2N after structural relaxation (PBE, Alexandria via LeMat-Bulk).

extended XYZ file:
```
8
Lattice="-2.722 2.722 5.316 2.722 -2.722 5.316 2.722 2.722 -5.316" Properties=species:S:1:pos:R:3 pbc="T T T"
Co 0.000 0.000 0.000
Co 0.000 2.722 2.658
Br 4.082 1.276 -1.329
Br 1.276 1.361 1.329
Br -1.361 1.445 3.987
Br 1.445 1.361 6.645
N 2.722 0.000 2.658
N 0.000 0.000 5.316
```

As for the raw total energy: -3.336 eV/atom.